(1)
Entry from the Alexandria database: a relaxed LiSmSbRh crystal (PBE-GGA).

Calculated values
- Symmetry: F-43m, No. 216
- Energy relative to the elements, uncorrected: -825 meV per atom

Cell lengths 4.758, 4.758, 4.758 Å; angles 60.00, 60.00, 60.00 degrees
Fractional positions:
Rh1 0.750 0.750 0.750
Li1 0.250 0.250 0.250
Sm1 0.500 0.500 0.500
Sb1 0.000 0.000 0.000

(2)
Entry from the Alexandria database: a relaxed Ba3Ga2Pd4 crystal (PBE-GGA).

Calculated values
- DOS at the Fermi energy: 8.2 states/eV/cell
- ΔE_f: -491 kJ/mol of formula units
- Symmetry: C2/c, No. 15

Cell lengths 7.487, 8.399, 8.399 Å; angles 83.17, 79.58, 79.58 degrees
Fractional positions:
Ba1 0.250 0.596 0.404
Ba2 0.112 0.999 0.732
Ba3 0.388 0.268 0.001
Ga1 0.551 0.808 0.542
Ga2 0.449 0.192 0.458
Pd1 0.118 0.678 0.043
Pd2 0.864 0.756 0.639
Pd3 0.364 0.639 0.756
Ga3 0.949 0.458 0.192
Pd4 0.636 0.361 0.244
Pd5 0.136 0.244 0.361
Ba4 0.750 0.404 0.596
Ba5 0.612 0.732 0.999
Pd6 0.618 0.043 0.678
Ba6 0.888 0.001 0.268
Pd7 0.382 0.957 0.322
Pd8 0.882 0.322 0.957
Ga4 0.051 0.542 0.808

(3)
Entry from the Alexandria database: a relaxed AcPmTh2N4 crystal (PBE-GGA).

Calculated values
- DOS at the Fermi energy: 3.3 states/eV/cell
- Symmetry: P2/m, No. 10
- Energy relative to the elements, uncorrected: -1434 meV per atom

Cell lengths 3.712, 6.437, 6.428 Å; angles 70.58, 90.00, 90.00 degrees
Fractional positions:
Th1 0.000 0.000 0.000
Ac1 0.000 0.500 0.500
N1 0.000 0.771 0.749
N2 0.500 0.221 0.765
Th2 0.500 0.000 0.500
N3 0.500 0.779 0.235
N4 0.000 0.229 0.251
Pm1 0.500 0.500 0.000

(4)
Entry from the Alexandria database: a relaxed DyGa4Ag2 crystal (PBE-GGA).

Calculated values
- DOS at the Fermi energy: 3.2 states/eV/cell
- ΔE_f: -78 kJ/mol of formula units
- Symmetry: Cmmm, No. 65

Cell lengths 3.714, 3.267, 11.573 Å; angles 90.00, 99.23, 90.00 degrees
Fractional positions:
Ga1 0.646 0.000 0.291
Ag1 0.796 0.500 0.592
Ga2 0.082 0.500 0.165
Dy1 0.500 0.000 0.000
Ga3 0.354 0.000 0.709
Ga4 0.918 0.500 0.835
Ag2 0.204 0.500 0.408

(5)
Entry from the Alexandria database: a relaxed Mn4Co2C crystal (PBE-GGA).

Calculated values
- DOS at the Fermi energy: 22.0 states/eV/cell
- ΔE_f: 12 kJ/mol of formula units
- Symmetry: Fd-3m, No. 227

Cell lengths 7.532, 7.532, 7.532 Å; angles 60.00, 60.00, 60.00 degrees
Fractional positions:
Mn1 0.059 0.441 0.441
Mn2 0.059 0.059 0.441
C1 0.125 0.125 0.125
Mn3 0.441 0.441 0.059
Co1 0.418 0.418 0.747
Mn4 0.809 0.191 0.191
C2 0.625 0.125 0.125
Mn5 0.191 0.809 0.191
Mn6 0.625 0.625 0.625
Co2 0.503 0.832 0.832
Co3 0.832 0.503 0.832
Co4 0.832 0.832 0.832
Mn7 0.059 0.441 0.059
Mn8 0.191 0.191 0.809
Mn9 0.625 0.625 0.125
Co5 0.418 0.418 0.418
Co6 0.832 0.832 0.503
Mn10 0.625 0.125 0.625
C3 0.125 0.125 0.625
Mn11 0.441 0.059 0.059
Mn12 0.441 0.059 0.441
Co7 0.747 0.418 0.418
Mn13 0.125 0.625 0.625
Mn14 0.191 0.809 0.809
Mn15 0.809 0.809 0.191
Mn16 0.809 0.191 0.809
C4 0.125 0.625 0.125
Co8 0.418 0.747 0.418

(6)
Entry from the Alexandria database: a relaxed NaPu3S4 crystal (PBE-GGA).

Calculated values
- DOS at the Fermi energy: 20.5 states/eV/cell
- Symmetry: Cmmm, No. 65
- Energy relative to the elements, uncorrected: -1671 meV per atom

Cell lengths 3.995, 6.918, 6.918 Å; angles 109.28, 90.00, 90.00 degrees
Fractional positions:
S1 0.000 0.259 0.259
S2 0.500 0.254 0.746
Pu1 0.000 0.000 0.500
Pu2 0.000 0.500 0.000
Pu3 0.500 0.500 0.500
S3 0.500 0.746 0.254
Na1 0.500 0.000 0.000
S4 0.000 0.741 0.741

(7)
Entry from the Alexandria database: a relaxed Li2ZnCu2Au5 crystal (PBE-GGA).

Calculated values
- DOS at the Fermi energy: 5.2 states/eV/cell
- ΔE_f: -214 kJ/mol of formula units
- Symmetry: P4/mbm, No. 127

Cell lengths 3.897, 9.376, 9.376 Å; angles 90.00, 90.00, 90.00 degrees
Fractional positions:
Cu1 0.000 0.628 0.872
Au1 0.500 0.420 0.303
Li1 0.000 0.669 0.169
Zn1 0.000 0.000 0.000
Au2 0.500 0.000 0.500
Cu2 0.000 0.872 0.372
Au3 0.500 0.580 0.697
Au4 0.500 0.500 0.000
Li2 0.000 0.331 0.831
Li3 0.000 0.169 0.331
Zn2 0.000 0.500 0.500
Au5 0.500 0.803 0.920
Au6 0.500 0.697 0.420
Au7 0.500 0.080 0.803
Au8 0.500 0.197 0.080
Au9 0.500 0.303 0.580
Li4 0.000 0.831 0.669
Cu3 0.000 0.372 0.128
Au10 0.500 0.920 0.197
Cu4 0.000 0.128 0.628

(8)
Entry from the Alexandria database: a relaxed Nd3AgOs crystal (PBE-GGA).

Calculated values
- DOS at the Fermi energy: 8.7 states/eV/cell
- ΔE_f: -75 kJ/mol of formula units
- Energy above the lowest structure with this stoichiometry: 0.000 eV/f.u.
- Symmetry: Fmmm, No. 69

Cell lengths 6.103, 6.103, 9.457 Å; angles 62.92, 62.92, 65.71 degrees
Fractional positions:
Nd1 0.297 0.297 0.284
Nd2 0.703 0.703 0.716
Ag1 0.295 0.705 0.500
Nd3 0.920 0.920 0.284
Os1 0.750 0.250 0.000
Nd4 0.694 0.694 0.111
Ag2 0.705 0.295 0.500
Nd5 0.080 0.080 0.716
Nd6 0.306 0.306 0.889
Os2 0.250 0.750 0.000

| no. | energy (eV/atom) |
| --- | --- |
| 1 | -5.352 |
| 2 | -4.187 |
| 3 | -8.559 |
| 4 | -3.317 |
| 5 | -8.570 |
| 6 | -9.274 |
| 7 | -3.190 |
| 8 | -5.832 |